# RbMgSc2S

A relaxed structure of RbMgSc2S (PBE, the Alexandria database).

The structure in POSCAR format:
```
RbMgSc2S
1.0
-0.252 -5.102 -2.301
5.138 -0.080 -0.384
0.344 -2.313 5.092
Sc S Mg Rb
2 1 1 1
Cartesian
0.172 -1.157 2.546
-0.126 -2.551 -1.151
2.569 -0.040 -0.192
0.000 0.000 0.000
2.615 -3.748 1.203
```

Computed properties:
As for the space-group type: No. 123. The size of the total moment comes out at 2.63 μB/f.u. For the density, the calculation gives 2.4 Mg/m³. As for the electronic total energy: -3.32 eV per atom. As for the density of states at the Fermi level: 6.87 states/eV/f.u. The value obtained for the uncorrected formation energy is 53 kJ/mol of atoms.

# TcSeSCl2

A relaxed structure of TcSeSCl2 (PBE, the Alexandria database).

The structure in POSCAR format:
```
TcSeSCl2
1.0
4.762 0.000 0.000
0.000 4.762 0.000
0.000 0.000 4.592
S Tc Se Cl
1 1 1 2
Cartesian
0.000 0.000 2.296
0.000 0.000 0.000
2.381 2.381 2.296
0.000 2.381 0.000
2.381 0.000 0.000
```

Computed properties:
As for the space-group type: No. 123. The size of the total moment comes out at 0.00 μB/f.u. For the density, the calculation gives 4.5 Mg/m³. As for the electronic total energy: -4.05 eV per atom. As for the distance to the lowest polymorph of the same formula: 0.00 kcal/mol of atoms. As for the density of states at the Fermi level: 4.37 states/eV/f.u. The value obtained for the uncorrected formation energy is 27 kJ/mol of atoms.

# Pm6PrNd2Dy

A relaxed structure of Pm6PrNd2Dy (PBE, the Alexandria database).

The structure in POSCAR format:
```
Pm6PrNd2Dy
1.0
9.402 -2.138 -2.219
0.784 8.693 -2.047
0.784 -2.368 8.611
Pm Pr Nd Dy
12 2 4 2
Cartesian
1.200 -0.840 6.057
5.068 -0.828 6.069
9.769 5.026 -1.712
5.900 5.015 -1.724
4.048 6.867 0.989
2.220 4.522 -1.444
6.921 -2.680 3.356
8.749 -0.335 5.789
2.065 4.703 2.545
4.203 2.886 0.660
8.904 -0.516 1.800
6.766 1.300 3.685
3.134 7.945 -2.397
7.835 -3.758 6.742
5.475 4.342 3.396
0.793 2.023 0.989
5.494 -0.155 0.949
10.176 2.164 3.356
3.134 1.609 3.709
7.835 2.578 0.636
```

Computed properties:
As for the space-group type: No. 15. The size of the total moment comes out at 0.00 μB/f.u. For the density, the calculation gives 7.0 Mg/m³. As for the electronic total energy: -4.63 eV per atom. As for the density of states at the Fermi level: 14.84 states/eV/f.u. The value obtained for the formation energy is 113 meV per atom.